DFT (PBE) results for Sm4HoTm5 after structural relaxation.

```
data_Sm4HoTm5
_chemical_formula_sum 'Sm8 Ho2 Tm10'
_cell_length_a 10.6136
_cell_length_b 10.6136
_cell_length_c 5.8565
_cell_angle_alpha 90.00
_cell_angle_beta 90.00
_cell_angle_gamma 90.00
_symmetry_space_group_name_H-M 'I 4 m m'
_symmetry_Int_Tables_number 107
_symmetry_space_group_name_Hall 'I 4 -2'
loop_
_atom_site_label
_atom_site_type_symbol
_atom_site_fract_x
_atom_site_fract_y
_atom_site_fract_z
Sm1 Sm 0.0000 0.3229 0.0000
Ho1 Ho 0.0000 0.0000 0.2408
Tm1 Tm 0.0000 0.0000 0.7635
Tm2 Tm 0.1890 0.1890 0.5030
```

Computed properties:
Total moment: 0.000 μB/atom
Formation enthalpy at 0 K: 250 meV/atom
E above lowest polymorph: 54 meV/atom
Electronic total energy: -43.31 eV/f.u.